Entry 1:
The following is a DFT calculation (PBE) of a relaxed structure of TbSn2Te4Au.

abc: 4.358 7.848 7.804
angles: 68.45 90.00 90.00
Element x y z (fractional)
1 Au 0.500 0.500 0.000
2 Sn 0.500 0.000 0.500
3 Sn 0.000 0.000 0.000
4 Te 0.500 0.750 0.262
5 Te 0.000 0.277 0.231
6 Te 0.000 0.723 0.769
7 Te 0.500 0.250 0.738
8 Tb 0.000 0.500 0.500

Properties
- Total magnetic moment: 0.00 μB/f.u.
- VASP energy: -4.05 eV/atom
- Density: 7.4 g cm⁻³
- Formation energy (no corrections): -3.89 eV per formula unit

Entry 2:
The following is a DFT calculation (PBE) of a relaxed structure of TbThSnAu.

abc: 5.317 5.317 5.317
angles: 60.00 60.00 60.00
Element x y z (fractional)
1 Tb 0.000 0.000 0.000
2 Sn 0.250 0.250 0.250
3 Th 0.500 0.500 0.500
4 Au 0.750 0.750 0.750

Properties
- Formation energy: -0.573 eV/atom
- Total magnetic moment: 0.00 μB/f.u.
- VASP energy: -5.41 eV/atom
- Density: 11.0 g cm⁻³

Entry 3:
The following is a DFT calculation (PBE) of a relaxed structure of TbTmSnAu.

abc: 5.197 5.197 5.197
angles: 60.00 60.00 60.00
Last column: magnetic moment on the atom in μB.
Element x y z (fractional)
1 Au 0.000 0.000 0.000  0.03
2 Sn 0.500 0.500 0.500  -0.01
3 Tm 0.750 0.750 0.750  0.17
4 Tb 0.250 0.250 0.250  0.17

Properties
- Formation energy: -0.704 eV/atom
- Total magnetic moment: 0.48 μB/f.u.
- VASP energy: -4.80 eV/atom
- Density: 10.8 g cm⁻³